Density functional theory data (PBE with a Hubbard U) for an optimized crystal structure of NaErVF6.

Values from the calculation:
Its total energy is -109.417 eV for the cell shown.

Structure (CIF):
```
data_NaErVF6
_cell_length_a 5.104
_cell_length_b 5.104
_cell_length_c 10.234
_cell_angle_alpha 90.00
_cell_angle_beta 90.00
_cell_angle_gamma 90.00
_space_group_name_H-M_alt 'P 42 n m'
_space_group_IT_number 102
loop_
_space_group_symop_operation_xyz
'x,y,z'
'-y+1/2,x+1/2,z+1/2'
'-x,-y,z'
'y+1/2,-x+1/2,z+1/2'
'-x+1/2,y+1/2,z+1/2'
'y,x,z'
'x+1/2,-y+1/2,z+1/2'
'-y,-x,z'
loop_
_atom_site_label
_atom_site_type_symbol
_atom_site_fract_x
_atom_site_fract_y
_atom_site_fract_z
_atom_site_occupancy
Na1 Na 0.000 0.000 0.000 1
Er1 Er 0.000 0.000 0.333 1
V1 V 0.000 0.000 0.668 1
F1 F 0.184 0.184 0.503 1
F2 F 0.199 0.199 0.822 1
F3 F 0.206 0.206 0.179 1
```